1.
12
Lattice="-4.8259 3.4456 -2.7073 2.2661 -5.3312 -2.9890 -3.7695 -3.2143 5.2481" Properties=species:S:1:pos:R:3 comment="Na3TaNi2Se6 | Alexandria via LeMat-Bulk | PBE | optimized geometry" dos_ef_per_ev_fu=4.4 e_form_raw_ev_per_atom=-0.61 pbc="T T T"
Na -0.7887 -5.4903 -0.3184
Na -5.5405 0.3904 -0.1297
Na -3.1646 -2.5499 -0.2241
Ta 0.0000 0.0000 0.0000
Ni -0.0944 -2.4100 -2.8952
Ni -2.4654 0.5244 -2.8010
Se -6.1689 -2.5183 -0.1090
Se -2.6158 -2.0145 -3.0905
Se -0.1604 -2.5816 -0.3392
Se -3.7624 -5.4965 -0.2046
Se -3.7135 -3.0854 2.6424
Se -2.5669 0.3966 -0.2436

2.
12
Lattice="3.9608 0.0000 0.0000 0.0000 7.7057 2.6254 0.0000 0.2105 10.2035" Properties=species:S:1:pos:R:3 comment="NaNiTeSe3 | Alexandria via LeMat-Bulk | PBE | optimized geometry" dos_ef_per_ev_fu=2.2 e_form_raw_ev_per_atom=-0.33 pbc="T T T"
Na 0.9902 1.5589 1.3667
Na 2.9706 6.3573 11.4622
Ni 0.9902 0.6304 5.7667
Ni 2.9706 7.2858 7.0621
Te 0.9902 5.1743 3.8926
Te 2.9706 2.7419 8.9362
Se 2.9706 7.0168 4.7163
Se 0.9902 0.8994 8.1125
Se 0.9902 6.1817 7.6400
Se 2.9706 1.7345 5.1889
Se 2.9706 3.2771 3.0333
Se 0.9902 4.6391 9.7956

3.
16
Lattice="-3.0958 -2.8363 6.9616 -5.1300 -5.2613 -4.4248 8.3559 -0.3161 -1.1599" Properties=species:S:1:pos:R:3 comment="Na4Th3NiSe8 | Alexandria via LeMat-Bulk | PBE | optimized geometry" dos_ef_per_ev_fu=8.2 e_form_raw_ev_per_atom=-1.28 pbc="T T T"
Na -1.5479 -1.4181 3.4808
Na 2.6301 -1.5762 2.9008
Na 0.0000 0.0000 0.0000
Na 4.1779 -0.1581 -0.5799
Th -4.1129 -4.0488 1.2684
Th 0.0651 -4.2068 0.6884
Th 1.6129 -2.7887 -2.7923
Ni -2.5650 -2.6306 -2.2124
Se 3.8740 -4.6807 -2.7699
Se -0.3064 -4.8669 -2.1191
Se 2.1800 -2.2318 0.0602
Se 2.1877 -6.2256 1.0221
Se -2.0576 -2.1881 0.3548
Se -2.0499 -6.1819 1.3167
Se 0.4365 -3.5468 3.4960
Se -3.7438 -3.7330 4.1468

4.
12
Lattice="-0.4132 2.8960 -2.1748 1.5642 -4.5340 -6.3346 -9.0873 0.0482 1.7905" Properties=species:S:1:pos:R:3 comment="NaTiNiSe3 | Alexandria via LeMat-Bulk | PBE | optimized geometry" dos_ef_per_ev_fu=4.0 e_form_raw_ev_per_atom=-0.93 pbc="T T T"
Na -2.1137 -0.3212 -1.5536
Na -5.8226 -1.2686 -5.1653
Ti -0.5825 -2.4217 -4.6414
Ti -7.3538 0.8318 -2.0775
Ni -5.4046 0.3523 -0.0315
Ni -2.5317 -1.9422 -6.6874
Se -0.2013 -1.9319 -7.1165
Se -7.7350 0.3421 0.3976
Se -3.1068 -2.7032 -4.5367
Se -4.8295 1.1134 -2.1822
Se -0.8687 0.1529 -4.2135
Se -7.0676 -1.7428 -2.5054

5.
5
Lattice="4.3908 0.0000 0.0000 0.0000 4.9335 0.0000 0.0000 0.0000 4.3908" Properties=species:S:1:pos:R:3 comment="NaTiNi2Se | Alexandria via LeMat-Bulk | PBE | optimized geometry" dos_ef_per_ev_fu=8.7 e_form_raw_ev_per_atom=0.63 pbc="T T T"
Ni 0.0000 0.0000 2.1954
Ni 2.1954 0.0000 0.0000
Na 0.0000 2.4668 0.0000
Se 0.0000 0.0000 0.0000
Ti 2.1954 2.4668 2.1954

6.
16
Lattice="-2.4937 0.6664 7.0506 -4.5622 -6.7473 -0.9758 7.3678 -0.6014 -1.3350" Properties=species:S:1:pos:R:3 comment="Na4Ti3NiSe8 | Alexandria via LeMat-Bulk | PBE | optimized geometry" dos_ef_per_ev_fu=8.0 e_form_raw_ev_per_atom=-1.01 pbc="T T T"
Na -1.2468 0.3332 3.5253
Na 2.4370 0.0325 2.8578
Na 0.0000 0.0000 0.0000
Na 3.6839 -0.3007 -0.6675
Ti -3.5279 -3.0405 3.0374
Ti 0.1559 -3.3412 2.3699
Ti 1.4028 -3.6744 -1.1554
Ni -2.2811 -3.3737 -0.4879
Se 3.3707 -5.1803 -0.3472
Se -0.3633 -4.8779 0.3326
Se 1.9013 -2.0699 0.8681
Se 2.1051 -4.8421 3.2312
Se -1.7932 -1.8402 1.5085
Se -1.5895 -4.6125 3.8716
Se 0.6752 -1.8044 4.4071
Se -3.0588 -1.5020 5.0869

7.
11
Lattice="-1.0583 0.6542 6.9907 5.1011 -2.3601 4.8475 -1.2297 7.4496 -1.1086" Properties=species:S:1:pos:R:3 comment="NaU2Ni2Se6 | Alexandria via LeMat-Bulk | PBE | optimized geometry" dos_ef_per_ev_fu=10.7 e_form_raw_ev_per_atom=-0.79 pbc="T T T"
Na -1.1440 4.0519 2.9411
U -0.2728 5.9860 6.5273
U 3.0859 -0.2424 4.2023
Ni 2.7972 4.5295 4.0898
Ni 0.0159 1.2141 6.6398
Se 3.6247 -1.2269 6.7411
Se 1.1160 1.1207 8.6875
Se 3.2178 2.4249 5.0088
Se 1.6970 4.6229 2.0421
Se -0.4047 3.3188 5.7208
Se -0.8116 6.9706 3.9885

8.
16
Lattice="8.0774 0.0000 0.0000 0.0000 8.4591 0.2537 -4.0387 -4.0379 5.7221" Properties=species:S:1:pos:R:3 comment="Na4U3NiSe8 | Alexandria via LeMat-Bulk | PBE | optimized geometry" dos_ef_per_ev_fu=15.0 e_form_raw_ev_per_atom=-1.03 pbc="T T T"
Na 4.0387 0.0000 0.0000
Na 2.0194 -2.0190 2.8611
Na 0.0000 0.0000 0.0000
Na -2.0194 -2.0190 2.8611
U 4.0387 4.2296 0.1268
U 2.0194 2.2106 2.9879
U -2.0194 2.2106 2.9879
Ni 0.0000 4.2296 0.1268
Se -2.1040 2.1153 5.8365
Se 0.0000 4.2178 2.8713
Se 0.0000 0.1635 2.9731
Se 2.1040 2.1153 5.8365
Se 1.9347 2.3059 0.1393
Se 4.0387 4.2577 3.0027
Se 4.0387 0.2034 3.1045
Se 6.1427 2.3059 0.1393

9.
12
Lattice="-3.1031 4.5447 3.4299 0.6110 -5.9884 2.4110 6.9694 2.3494 1.1175" Properties=species:S:1:pos:R:3 comment="Na3UNi2Se6 | Alexandria via LeMat-Bulk | PBE | optimized geometry" dos_ef_per_ev_fu=9.8 e_form_raw_ev_per_atom=-0.77 pbc="T T T"
Na 3.5023 -3.1309 3.1326
Na 0.9750 4.0366 3.8259
Na 2.2387 0.4528 3.4792
U 0.0000 0.0000 0.0000
Ni -0.6225 -2.4901 2.7494
Ni -1.8696 1.0464 3.0915
Se 2.9727 2.6513 5.4652
Se -0.3363 -0.5428 4.3859
Se 1.5047 -1.7456 1.4932
Se 4.2987 -1.1094 5.1015
Se 4.8136 1.4485 2.5726
Se 0.1786 2.0151 1.8570

10.
8
Lattice="6.5794 0.0000 0.0000 3.2897 4.9402 -0.0250 3.2897 0.3799 4.9257" Properties=species:S:1:pos:R:3 comment="NaUNi2Se4 | Alexandria via LeMat-Bulk | PBE | optimized geometry" dos_ef_per_ev_fu=10.8 e_form_raw_ev_per_atom=-0.55 pbc="T T T"
Na 0.0000 0.0000 0.0000
U 6.5794 2.6601 2.4503
Ni 3.2897 1.7421 1.6047
Ni 9.8692 3.5781 3.2960
Se 4.9359 0.1937 2.4684
Se 4.9359 5.1264 2.4323
Se 8.2229 2.4760 -0.0092
Se 8.2229 2.8442 4.9099

11.
14
Lattice="6.8036 0.0000 0.1148 0.0000 5.7683 0.0000 -2.5158 0.0000 8.1978" Properties=species:S:1:pos:R:3 comment="NaUNiSe4 | Alexandria via LeMat-Bulk | PBE | optimized geometry" dos_ef_per_ev_fu=6.1 e_form_raw_ev_per_atom=-0.83 pbc="T T T"
Na 2.6361 4.3262 7.8162
Na 1.6516 1.4421 0.4964
U 3.8867 4.3262 3.6990
U 0.4010 1.4421 4.6136
Ni 0.8681 4.3262 2.7952
Ni 3.4196 1.4421 5.5174
Se -1.6985 2.9376 5.9429
Se 5.9862 0.0534 2.3697
Se 5.9862 2.8307 2.3697
Se -1.6985 5.7149 5.9429
Se 2.6621 4.3262 1.2800
Se 1.6256 1.4421 7.0326
Se 1.4096 4.3262 5.0109
Se 2.8781 1.4421 3.3017

12.
12
Lattice="3.5462 0.0000 0.0000 0.0000 7.7171 -0.6967 0.0000 -2.7022 8.9337" Properties=species:S:1:pos:R:3 comment="NaVNiSe3 | Alexandria via LeMat-Bulk | PBE | optimized geometry" dos_ef_per_ev_fu=2.0 e_form_raw_ev_per_atom=-0.71 pbc="T T T"
Na 0.8866 1.2591 2.2968
Na 2.6597 3.7558 5.9402
V 0.8866 4.9822 1.1042
V 2.6597 0.0326 7.1329
Ni 0.8866 -0.9788 5.3553
Ni 2.6597 5.9937 2.8817
Se 2.6597 6.6723 0.6490
Se 0.8866 -1.6574 7.5880
Se 0.8866 4.5565 3.4909
Se 2.6597 0.4583 4.7461
Se 2.6597 3.1164 0.7980
Se 0.8866 1.8985 7.4390

13.
12
Lattice="6.4144 0.1213 -0.0165 -3.1006 5.6165 -0.0165 -1.1228 -1.9440 6.8542" Properties=species:S:1:pos:R:3 comment="Na3V2NiSe6 | Alexandria via LeMat-Bulk | PBE | optimized geometry" dos_ef_per_ev_fu=3.3 e_form_raw_ev_per_atom=-0.74 pbc="T T T"
Na -1.9875 3.6775 3.4106
Na 4.1786 0.1163 3.4106
Na 1.0955 1.8969 3.4106
V 0.2338 3.6908 -0.0165
V 3.0800 2.0470 -0.0165
Ni 0.0000 0.0000 0.0000
Se 3.2322 2.0113 5.5363
Se 2.1957 3.8018 1.4848
Se -1.0412 1.7825 1.2850
Se 0.1268 3.8048 5.5363
Se -0.0046 -0.0080 5.3365
Se 2.0643 -0.0110 1.2850

14.
12
Lattice="-2.1498 4.2498 4.4650 0.6551 -6.3067 1.5540 6.8322 1.8276 -0.0447" Properties=species:S:1:pos:R:3 comment="Na3Ni2WSe6 | Alexandria via LeMat-Bulk | PBE | optimized geometry" dos_ef_per_ev_fu=8.0 e_form_raw_ev_per_atom=-0.47 pbc="T T T"
Na 3.6093 -3.6543 2.0111
Na 1.7283 3.4250 3.9633
Na 2.6688 -0.1146 2.9872
Ni -0.2791 -2.7907 2.5236
Ni -1.2155 0.7338 3.4955
W 0.0000 0.0000 0.0000
Se 3.8998 1.7071 5.0681
Se 0.2280 -1.1354 4.3372
Se 1.4378 -1.9364 0.9063
Se 4.8584 -1.9008 4.0731
Se 5.1095 0.9061 1.6371
Se 0.4792 1.6715 1.9012

15.
15
Lattice="7.3410 0.0000 0.0000 -3.6705 6.3726 -0.0245 0.0000 -4.2243 6.9006" Properties=species:S:1:pos:R:3 comment="Na3Ni3WSe8 | Alexandria via LeMat-Bulk | PBE | optimized geometry" dos_ef_per_ev_fu=10.3 e_form_raw_ev_per_atom=-0.44 pbc="T T T"
Na 0.0000 0.0000 0.0000
Na -1.8353 3.1863 -0.0122
Na 1.8353 3.1863 -0.0122
Ni 3.6705 -2.1121 3.4503
Ni 1.8353 1.0742 3.4381
Ni -1.8353 1.0742 3.4381
W 0.0000 -2.1121 3.4503
Se 0.0000 2.1247 2.1981
Se 3.6705 0.0236 4.6780
Se 3.6705 2.0916 2.1015
Se 0.0000 0.0568 4.7746
Se 5.4674 -1.0357 2.1133
Se -1.7969 3.1841 4.7628
Se 1.8736 -1.0357 2.1133
Se 1.7969 3.1841 4.7628

16.
5
Lattice="-0.6999 -2.6271 -4.0530 3.3343 -3.3245 1.5791 -3.5484 -2.4986 2.2324" Properties=species:S:1:pos:R:3 comment="NaNiWSe2 | Alexandria via LeMat-Bulk | PBE | optimized geometry" dos_ef_per_ev_fu=6.8 e_form_raw_ev_per_atom=2.02 pbc="T T T"
Ni -0.4570 -4.2251 -0.1207
Se -1.7742 -1.2493 1.1162
Se -0.3500 -1.3136 -2.0265
W 1.6672 -1.6622 0.7895
Na 0.0000 0.0000 0.0000

17.
12
Lattice="-1.4092 2.6918 2.2753 -1.0683 -5.5922 5.9542 8.4098 3.6841 0.8501" Properties=species:S:1:pos:R:3 comment="NaZrNiSe3 | Alexandria via LeMat-Bulk | PBE | optimized geometry" dos_ef_per_ev_fu=4.3 e_form_raw_ev_per_atom=-1.04 pbc="T T T"
Na 1.4885 0.3784 2.0574
Na 4.4439 0.4053 7.0222
Zr 0.3587 -2.5636 4.8381
Zr 5.5737 3.3473 4.2415
Ni 4.5412 2.3513 1.6140
Ni 1.3912 -1.5676 7.4656
Se -0.8243 -2.5352 7.2382
Se 6.7567 3.3190 1.8414
Se 2.8405 -1.9206 5.6146
Se 3.0918 2.7043 3.4650
Se -0.2550 0.0922 4.4824
Se 6.1874 0.6915 4.5972

18.
12
Lattice="-2.5362 -3.8913 4.8650 6.6528 0.3059 -0.9429 -0.9914 6.5371 3.1556" Properties=species:S:1:pos:R:3 comment="Na3Zr2NiSe6 | Alexandria via LeMat-Bulk | PBE | optimized geometry" dos_ef_per_ev_fu=6.1 e_form_raw_ev_per_atom=-1.07 pbc="T T T"
Na 4.5957 2.8613 1.6218
Na -1.4706 0.0904 5.4559
Na 1.5626 1.4758 3.5389
Zr 3.5807 -1.0973 0.9989
Zr 0.5360 -2.4881 2.9232
Ni 0.0000 0.0000 0.0000
Se 0.8880 1.7039 6.4264
Se 2.8638 -1.2635 3.6179
Se 2.2372 1.2478 0.6513
Se 3.8673 3.0647 4.5434
Se 0.2614 4.2151 3.4598
Se -0.7421 -0.1130 2.5343

19.
16
Lattice="7.7324 0.0000 0.0000 0.0000 8.3360 0.4133 -3.8662 -3.8613 5.4744" Properties=species:S:1:pos:R:3 comment="Na4Zr3NiSe8 | Alexandria via LeMat-Bulk | PBE | optimized geometry" dos_ef_per_ev_fu=7.2 e_form_raw_ev_per_atom=-1.13 pbc="T T T"
Na 3.8662 0.0000 0.0000
Na 1.9331 -1.9307 2.7372
Na 0.0000 0.0000 0.0000
Na -1.9331 -1.9307 2.7372
Zr 3.8662 4.1680 0.2067
Zr 1.9331 2.2373 2.9439
Zr -1.9331 2.2373 2.9439
Ni 0.0000 4.1680 0.2067
Se -1.9884 2.1732 5.6701
Se 0.0000 4.1588 2.8582
Se 0.0000 0.2853 2.9338
Se 1.9884 2.1732 5.6701
Se 1.8777 2.3014 0.2177
Se 3.8662 4.1893 2.9539
Se 3.8662 0.3158 3.0295
Se 5.8546 2.3014 0.2177

20.
11
Lattice="-6.4706 0.8999 -0.9765 2.2625 -1.5335 6.0135 2.1858 7.1748 -0.2331" Properties=species:S:1:pos:R:3 comment="Na2Zr2NiSe6 | Alexandria via LeMat-Bulk | PBE | optimized geometry" e_form_raw_ev_per_atom=-1.05 pbc="T T T"
Na -4.9914 0.4877 0.2074
Na 0.7833 -1.1213 4.8295
Zr 0.4502 2.8634 3.5716
Zr -2.4725 3.6778 1.2322
Ni 1.0929 3.5874 -0.1166
Se -1.6170 4.6186 3.6281
Se 1.9709 4.5799 2.1391
Se -0.4053 1.9226 1.1757
Se -0.8305 5.3605 -0.1032
Se -3.9932 1.9613 2.6647
Se -1.1918 1.1807 4.9070